[1]
Below is MgSi2Ge2 after structural relaxation, with properties calculated at the GGA-PBE level.

Cell lengths 7.503, 7.503, 7.503 Å; angles 151.72, 151.72, 40.42 degrees
Sites, in units of the cell vectors:
Mg 0.000 0.000 0.000
Si 0.250 0.750 0.500
Si 0.750 0.250 0.500
Ge 0.390 0.390 0.000
Ge 0.610 0.610 0.000

polymorph energy (0 for the lowest one) = 82 meV per atom
electronic total energy = -4.06 eV/atom
E_form (uncorrected) = 0.273 eV per atom
magnetic moment = 0.000 μB per atom
Fermi-level density of states = 2.16 states/eV per cell
SG = No. 139

---

[2]
Below is GaBiPd2 after structural relaxation, with properties calculated at the GGA-PBE level.

Cell lengths 4.730, 4.730, 4.730 Å; angles 60.00, 60.00, 60.00 degrees
Sites, in units of the cell vectors:
Ga 0.000 0.000 0.000
Bi 0.500 0.500 0.500
Pd 0.250 0.250 0.250
Pd 0.750 0.750 0.750

electronic total energy = -4.57 eV/atom
E_form = -0.247 eV/atom
magnetic moment = 0.000 μB per atom
Fermi-level density of states = 1.90 states/eV per cell
SG = No. 225

---

[3]
Below is GdSnSb2 after structural relaxation, with properties calculated at the GGA-PBE level.

Cell lengths 10.331, 10.331, 10.331 Å; angles 21.80, 21.80, 21.80 degrees
Sites, in units of the cell vectors:
Gd 0.000 0.000 0.000
Sn 0.500 0.500 0.500
Sb 0.101 0.101 0.101
Sb 0.899 0.899 0.899

polymorph energy (0 for the lowest one) = 655 meV per atom
electronic total energy = -6.42 eV/atom
E_form (uncorrected) = 0.165 eV per atom
magnetic moment = 1.901 μB per atom
Fermi-level density of states = 5.25 states/eV per cell
SG = No. 166

---

[4]
Below is La2IN2 after structural relaxation, with properties calculated at the GGA-PBE level.

Cell lengths 7.716, 7.716, 7.716 Å; angles 148.28, 148.28, 45.47 degrees
Sites, in units of the cell vectors:
La 0.171 0.171 0.000
La 0.829 0.829 0.000
I 0.500 0.500 0.000
N 0.250 0.750 0.500
N 0.750 0.250 0.500

polymorph energy (0 for the lowest one) = 0 meV per atom
electronic total energy = -6.89 eV/atom
E_form (uncorrected) = -1.277 eV per atom
magnetic moment = 0.000 μB per atom
Fermi-level density of states = 7.57 states/eV per cell
SG = No. 139

---

[5]
Below is Dy2Al3CuPt4 after structural relaxation, with properties calculated at the GGA-PBE level.

Cell lengths 4.055, 4.055, 11.097 Å; angles 90.00, 90.00, 90.00 degrees
Sites, in units of the cell vectors:
Dy 0.000 0.500 0.242
Dy 0.500 0.000 0.758
Al 0.000 0.000 0.000
Al 0.000 0.500 0.632
Al 0.500 0.000 0.368
Cu 0.500 0.500 0.000
Pt 0.000 0.000 0.500
Pt 0.000 0.500 0.854
Pt 0.500 0.000 0.146
Pt 0.500 0.500 0.500

electronic total energy = -5.87 eV/atom
E_form = -1.000 eV/atom
magnetic moment = 0.000 μB per atom
Fermi-level density of states = 6.11 states/eV per cell
SG = No. 115

---

[6]
Below is TaRhAu2 after structural relaxation, with properties calculated at the GGA-PBE level.

Cell lengths 5.900, 5.900, 5.900 Å; angles 101.70, 101.70, 126.48 degrees
Sites, in units of the cell vectors:
Ta 0.000 0.000 0.000
Ta 0.750 0.250 0.500
Rh 0.250 0.750 0.500
Rh 0.500 0.500 0.000
Au 0.122 0.625 0.997
Au 0.375 0.372 0.497
Au 0.628 0.125 0.003
Au 0.875 0.878 0.503

polymorph energy (0 for the lowest one) = 600 meV per atom
electronic total energy = -6.07 eV/atom
E_form = 0.375 eV/atom
magnetic moment = 0.000 μB per atom
Fermi-level density of states = 6.77 states/eV per cell
SG = No. 122

---

[7]
Below is Li5Ir after structural relaxation, with properties calculated at the GGA-PBE level.

Cell lengths 7.406, 7.406, 2.732 Å; angles 90.00, 90.00, 143.48 degrees
Sites, in units of the cell vectors:
Li 0.000 0.000 0.000
Li 0.161 0.839 0.500
Li 0.343 0.657 0.000
Li 0.657 0.343 0.000
Li 0.839 0.161 0.500
Ir 0.500 0.500 0.500

polymorph energy (0 for the lowest one) = 47 meV per atom
electronic total energy = -3.08 eV/atom
E_form = -0.012 eV/atom
magnetic moment = 0.052 μB per atom
Fermi-level density of states = 2.44 states/eV per cell
SG = No. 65

---

[8]
Below is GdMgPdRu after structural relaxation, with properties calculated at the GGA-PBE level.

Cell lengths 4.706, 4.706, 4.706 Å; angles 60.00, 60.00, 60.00 degrees
Sites, in units of the cell vectors:
Gd 0.000 0.000 0.000
Mg 0.500 0.500 0.500
Pd 0.750 0.750 0.750
Ru 0.250 0.250 0.250

electronic total energy = -7.94 eV/atom
E_form = -0.408 eV/atom
magnetic moment = 1.782 μB per atom
Fermi-level density of states = 2.30 states/eV per cell
SG = No. 216